1.
Compound: LiH3Pt
Source: the Alexandria database
Functional: GGA-PBE
Structure: optimized geometry

Computed properties:
The calculation puts the theoretical density at 7.39 Mg/m³.

Lattice parameters (Å, degrees): 4.9669 4.9669 12.9341 90.00 90.00 120.00
Space group R-3 (No. 148, hexagonal axes)
Inequivalent atoms, fractional coordinates:
Li (0.0000, 0.0000, 0.1121) [6 per cell]
H (0.0042, 0.6127, 0.0726) [18 per cell]
Pt (0.0000, 0.0000, 0.3236) [6 per cell]

***

2.
Compound: Pm8RuAu2
Source: the Alexandria database
Functional: GGA-PBE
Structure: optimized geometry

Computed properties:
The calculation puts the theoretical density at 8.69 Mg/m³. The calculation puts the energy of formation at -0.341 eV per atom.

Lattice parameters (Å, degrees): 17.778 5.181 7.019 90.00 101.99 90.00
Space group C2/m (No. 12)
Inequivalent atoms, fractional coordinates:
Pm (0.027, 0.000, 0.286) [4 per cell]
Pm (0.088, 0.500, 0.940) [4 per cell]
Pm (0.158, 0.500, 0.468) [4 per cell]
Pm (0.203, 0.000, 0.819) [4 per cell]
Ru (0.000, 0.500, 0.500) [2 per cell]
Au (0.192, 0.000, 0.233) [4 per cell]

***

3.
Compound: Rb2TbAuCl6
Source: the Alexandria database
Functional: GGA-PBE
Structure: optimized geometry

Computed properties:
For the raw formation energy, the calculation gives -1.71 eV per atom. The calculation puts the theoretical density at 3.51 Mg/m³.

Lattice parameters (Å, degrees): 6.759 7.305 15.010 90.00 109.06 90.00
Space group P2_1/c (No. 14)
Inequivalent atoms, fractional coordinates:
Rb (0.219, 0.027, 0.205) [4 per cell]
Tb (0.000, 0.000, 0.500) [2 per cell]
Au (0.500, 0.000, 0.000) [2 per cell]
Cl (0.153, 0.677, 0.885) [4 per cell]
Cl (0.198, 0.176, 0.976) [4 per cell]
Cl (0.310, 0.605, 0.149) [4 per cell]

***

4.
Compound: LiZnPt2
Source: the Alexandria database
Functional: GGA-PBE
Structure: optimized geometry

Computed properties:
The calculation puts the theoretical density at 13.36 Mg/m³. The calculation puts the energy of formation at -0.545 eV per atom.

Lattice parameters (Å, degrees): 9.729 2.799 4.540 90.00 111.52 90.00
Space group Cm (No. 8)
Inequivalent atoms, fractional coordinates:
Li (0.000, 0.000, 0.000) [2 per cell]
Zn (0.234, 0.000, 0.577) [2 per cell]
Pt (0.248, 0.500, 0.081) [2 per cell]
Pt (0.492, 0.000, 0.504) [2 per cell]

***

5.
Compound: Mg3PN
Source: the Alexandria database
Functional: GGA-PBE
Structure: optimized geometry

Computed properties:
For the raw formation energy, the calculation gives -0.37 eV per atom. The calculation puts the theoretical density at 2.34 Mg/m³.

Lattice parameters (Å, degrees): 11.016 11.016 11.016 90.00 90.00 90.00
Space group Fd-3m (No. 227, origin choice 2)
Inequivalent atoms, fractional coordinates:
Mg (0.092, 0.375, 0.375) [48 per cell]
P (0.000, 0.000, 0.500) [16 per cell]
N (0.000, 0.000, 0.000) [16 per cell]

***

Number 1: uncorrected energy -3.870 eV/atom. Number 2: uncorrected energy -5.235 eV/atom. Number 3: uncorrected energy -3.802 eV/atom. Number 4: uncorrected energy -4.362 eV/atom. Number 5: uncorrected energy -4.078 eV/atom.